1.
Computed, not measured: La2BiAs after structural relaxation at the PBE-GGA level of DFT.

Values from the calculation:
* energy: -5.796 eV per atom
* E_form: -1.199 eV/atom

abc: 4.4684 4.4684 23.2320
angles: 90.00 90.00 120.00
Space group R3m (No. 160, hexagonal axes)
Symmetry-distinct sites (fractional):
La1 0.0000 0.0000 0.0000 [3 per cell]
La2 0.0000 0.0000 0.1830 [3 per cell]
Bi1 0.0000 0.0000 0.7587 [3 per cell]
As1 0.0000 0.0000 0.5898 [3 per cell]

---

2.
Computed, not measured: La2BiAs after structural relaxation at the PBE-GGA level of DFT.

Values from the calculation:
* energy: -5.579 eV per atom
* E_form: -0.982 eV/atom

abc: 8.3145 8.3145 7.6301
angles: 90.00 90.00 90.00
Space group I-42d (No. 122)
Symmetry-distinct sites (fractional):
La1 0.2234 0.7500 0.1250 [8 per cell]
Bi1 0.0000 0.0000 0.5000 [4 per cell]
As1 0.0000 0.0000 0.0000 [4 per cell]

---

3.
Computed, not measured: La2BiAs after structural relaxation at the PBE-GGA level of DFT.

Values from the calculation:
* energy: -5.545 eV per atom
* E_form: -0.949 eV/atom

abc: 7.8132 7.8132 7.8132
angles: 90.00 90.00 90.00
Space group Fm-3m (No. 225)
Symmetry-distinct sites (fractional):
La1 0.2500 0.2500 0.2500 [8 per cell]
Bi1 0.0000 0.0000 0.0000 [4 per cell]
As1 0.0000 0.0000 0.5000 [4 per cell]

---

4.
Computed, not measured: LaBiAs2 after structural relaxation at the PBE-GGA level of DFT.

Values from the calculation:
* energy: -5.189 eV per atom
* E_form: -0.662 eV/atom

abc: 5.0267 5.0267 4.0054
angles: 90.00 90.00 90.00
Space group P4/mmm (No. 123)
Symmetry-distinct sites (fractional):
La1 0.0000 0.0000 0.0000 [1 per cell]
Bi1 0.5000 0.5000 0.0000 [1 per cell]
As1 0.0000 0.5000 0.5000 [2 per cell]

---

5.
Computed, not measured: LaBi2As2 after structural relaxation at the PBE-GGA level of DFT.

Values from the calculation:
* distance to the lowest polymorph of the same formula: 0.000 eV/atom
* energy: -4.860 eV per atom
* E_form: -0.462 eV/atom

abc: 8.2648 8.2648 4.2118
angles: 90.00 90.00 90.00
Space group P4/mbm (No. 127)
Symmetry-distinct sites (fractional):
La1 0.0000 0.0000 0.0000 [2 per cell]
Bi1 0.1691 0.3309 0.5000 [4 per cell]
As1 0.1660 0.6660 0.0000 [4 per cell]

---

6.
Computed, not measured: La5Bi2As2 after structural relaxation at the PBE-GGA level of DFT.

Values from the calculation:
* energy: -5.755 eV per atom
* E_form: -1.122 eV/atom

abc: 16.1476 8.3919 8.4595
angles: 90.00 90.00 90.00
Space group Cmce (No. 64)
Symmetry-distinct sites (fractional):
La1 0.0000 0.0000 0.0000 [4 per cell]
La2 0.1256 0.1590 0.3417 [16 per cell]
Bi1 0.2040 0.0000 0.0000 [8 per cell]
As1 0.0000 0.1481 0.6472 [8 per cell]